Here is an optimized crystal structure of NaMgH2Br from Alexandria. Energies are from PBE.

It has space group P4/mmm (No. 123), with a = 3.967 Å, b = 3.967 Å, c = 5.626 Å, α = 90.00°, β = 90.00° and γ = 90.00°. The inequivalent atoms are Na at (0.000, 0.000, 0.000), Mg at (0.500, 0.500, 0.500), H at (0.000, 0.500, 0.500) and Br at (0.500, 0.500, 0.000).

The value obtained for the spin magnetization is 0.00 μB per formula unit. Its energy is -14.1 eV/f.u. The crystal system is tetragonal.